Entry 1:
DFT (PBE-GGA) results for an optimized crystal structure of Pu3HfN4.

## Properties
The energy above the most stable polymorph in this dataset comes out at 0.000 eV per atom. The symmetry is Cmmm (65). As for the uncorrected formation energy: -1.396 eV per atom.

abc: 5.925 5.925 3.396
angles: 90.00 90.00 109.07
Atoms (fractional coordinates):
Pu (0.000, 0.000, 0.000)
Pu (0.000, 0.500, 0.500)
Pu (0.500, 0.000, 0.500)
Hf (0.500, 0.500, 0.000)
N (0.264, 0.736, 0.000)
N (0.271, 0.271, 0.500)
N (0.729, 0.729, 0.500)
N (0.736, 0.264, 0.000)

***

Entry 2:
DFT (PBE-GGA) results for an optimized crystal structure of NpPaSi4.

## Properties
The energy above the most stable polymorph in this dataset comes out at 0.000 eV per atom. The symmetry is I-4m2 (119). As for the uncorrected formation energy: -0.392 eV per atom.

abc: 7.609 7.609 7.609
angles: 149.86 149.86 43.14
Atoms (fractional coordinates):
Np (0.000, 0.000, 0.000)
Pa (0.750, 0.250, 0.500)
Si (0.167, 0.667, 0.500)
Si (0.333, 0.833, 0.500)
Si (0.418, 0.418, 0.000)
Si (0.582, 0.582, 0.000)

***

Entry 3:
DFT (PBE-GGA) results for an optimized crystal structure of Ca2AcNd.

## Properties
The energy above the most stable polymorph in this dataset comes out at 0.069 eV per atom. The formation energy from the elements is 36 kJ/mol of formula units. The symmetry is Fm-3m (225).

abc: 6.113 6.113 6.113
angles: 60.00 60.00 60.00
Atoms (fractional coordinates):
Ca (0.250, 0.250, 0.250)
Ca (0.750, 0.750, 0.750)
Ac (0.000, 0.000, 0.000)
Nd (0.500, 0.500, 0.500)

***

Entry 4:
DFT (PBE-GGA) results for an optimized crystal structure of Ho4Al3Ga.

## Properties
The energy above the most stable polymorph in this dataset comes out at 0.002 eV per atom. The formation energy from the elements is -340 kJ/mol of formula units. The symmetry is P4/mmm (123).

abc: 3.571 3.571 14.353
angles: 90.00 90.00 90.00
Atoms (fractional coordinates):
Ho (0.000, 0.000, 0.123)
Ho (0.000, 0.000, 0.375)
Ho (0.000, 0.000, 0.625)
Ho (0.000, 0.000, 0.877)
Al (0.500, 0.500, 0.250)
Al (0.500, 0.500, 0.500)
Al (0.500, 0.500, 0.750)
Ga (0.500, 0.500, 0.000)

***

Entry 5:
DFT (PBE-GGA) results for an optimized crystal structure of Sm12Cd6Cu.

## Properties
The formation energy from the elements is -167 kJ/mol of formula units. The symmetry is R-3 (148).

abc: 8.163 8.163 8.163
angles: 88.71 88.71 88.71
Atoms (fractional coordinates):
Sm (0.030, 0.946, 0.305)
Sm (0.054, 0.695, 0.970)
Sm (0.138, 0.479, 0.358)
Sm (0.305, 0.030, 0.946)
Sm (0.358, 0.138, 0.479)
Sm (0.479, 0.358, 0.138)
Sm (0.521, 0.642, 0.862)
Sm (0.642, 0.862, 0.521)
Sm (0.695, 0.970, 0.054)
Sm (0.862, 0.521, 0.642)
Sm (0.946, 0.305, 0.030)
Sm (0.970, 0.054, 0.695)
Cd (0.238, 0.392, 0.759)
Cd (0.241, 0.762, 0.608)
Cd (0.392, 0.759, 0.238)
Cd (0.608, 0.241, 0.762)
Cd (0.759, 0.238, 0.392)
Cd (0.762, 0.608, 0.241)
Cu (0.500, 0.500, 0.500)

***

Entry 6:
DFT (PBE-GGA) results for an optimized crystal structure of Ac2CoSi.

## Properties
The symmetry is R3m (160). As for the uncorrected formation energy: -0.401 eV per atom.

abc: 8.356 8.356 8.356
angles: 28.91 28.91 28.91
Atoms (fractional coordinates):
Ac (0.000, 0.000, 0.000)
Ac (0.166, 0.166, 0.166)
Co (0.417, 0.417, 0.417)
Si (0.750, 0.750, 0.750)

***

Entry 7:
DFT (PBE-GGA) results for an optimized crystal structure of Sr2CaP2.

## Properties
The energy above the most stable polymorph in this dataset comes out at 0.122 eV per atom. The formation energy from the elements is -450 kJ/mol of formula units. The symmetry is P4/mbm (127).

abc: 8.197 8.197 4.141
angles: 90.00 90.00 90.00
Atoms (fractional coordinates):
Sr (0.137, 0.363, 0.000)
Sr (0.363, 0.863, 0.000)
Sr (0.637, 0.137, 0.000)
Sr (0.863, 0.637, 0.000)
Ca (0.000, 0.000, 0.500)
Ca (0.500, 0.500, 0.500)
P (0.172, 0.672, 0.500)
P (0.328, 0.172, 0.500)
P (0.672, 0.828, 0.500)
P (0.828, 0.328, 0.500)

***

Entry 8:
DFT (PBE-GGA) results for an optimized crystal structure of NbZn2NiAg.

## Properties
The formation energy from the elements is 342 kJ/mol of formula units. The symmetry is P4/mmm (123).

abc: 4.396 4.396 4.690
angles: 90.00 90.00 90.00
Atoms (fractional coordinates):
Nb (0.000, 0.000, 0.000)
Zn (0.000, 0.500, 0.500)
Zn (0.500, 0.000, 0.500)
Ni (0.500, 0.500, 0.500)
Ag (0.500, 0.500, 0.000)